A relaxed structure of CuHg3Se4, computed with PBE-GGA.

Volume: 27.939 Å³/atom
E above lowest polymorph: 6 meV/atom
Space-group type: No. 31
Energy relative to the elements, uncorrected: -1.3 eV/f.u.

Cell lengths 7.0785, 7.3970, 8.5376 Å; angles 90.00, 90.00, 90.00 degrees
Last column: nearest neighbours and their distance in Å.
Element x y z (fractional)
Cu1 0.0036 0.1689 0.0000  4 Se 2.40-2.41
Cu2 0.5036 0.8311 0.5000  4 Se 2.40-2.41
Hg1 0.5011 0.8392 0.0000  4 Se 2.71-2.72
Hg2 0.9978 0.6697 0.2499  4 Se 2.70-2.71
Hg3 0.4978 0.3303 0.2501  4 Se 2.70-2.71
Hg4 0.0011 0.1608 0.5000  4 Se 2.71-2.72
Hg5 0.4978 0.3303 0.7499  4 Se 2.70-2.71
Hg6 0.9978 0.6697 0.7501  4 Se 2.70-2.71
Se1 0.1189 0.8639 0.0000  1 Cu 2.40
Se2 0.6626 0.1717 0.0000  1 Cu 2.41, 2 Hg 2.70
Se3 0.1168 0.3218 0.2305  1 Cu 2.41
Se4 0.6168 0.6782 0.2695  1 Cu 2.41
Se5 0.1626 0.8283 0.5000  1 Cu 2.41, 2 Hg 2.70
Se6 0.6189 0.1361 0.5000  1 Cu 2.40
Se7 0.6168 0.6782 0.7305  1 Cu 2.41
Se8 0.1168 0.3218 0.7695  1 Cu 2.41

A relaxed structure of Dy8PbSe6, computed with PBE-GGA.

Volume: 26.201 Å³/atom
Space-group type: No. 147
Energy relative to the elements, uncorrected: -19.9 eV/f.u.

Cell lengths 4.0508, 10.5845, 10.5845 Å; angles 120.00, 90.00, 90.00 degrees
Last column: nearest neighbours and their distance in Å.
Element x y z (fractional)
Dy1 0.7478 0.9639 0.2905  4 Se 2.79-3.04
Dy2 0.7478 0.7095 0.6734  4 Se 2.79-3.04
Dy3 0.7478 0.3266 0.0361  4 Se 2.79-3.04
Dy4 0.2522 0.0361 0.7095  4 Se 2.79-3.04
Dy5 0.2522 0.2905 0.3266  4 Se 2.79-3.04
Dy6 0.2522 0.6734 0.9639  4 Se 2.79-3.04
Dy7 0.7481 0.3333 0.6667  6 Se 2.87-2.88
Dy8 0.2519 0.6667 0.3333  6 Se 2.87-2.88
Pb1 0.5000 0.0000 0.0000  6 Dy 3.43
Se1 0.7499 0.6492 0.1325  6 Dy 2.79-3.04
Se2 0.7499 0.8675 0.5167  6 Dy 2.79-3.04
Se3 0.7499 0.4833 0.3508  6 Dy 2.79-3.04
Se4 0.2501 0.3508 0.8675  6 Dy 2.79-3.04
Se5 0.2501 0.1325 0.4833  6 Dy 2.79-3.04
Se6 0.2501 0.5167 0.6492  6 Dy 2.79-3.04